Entry from Alexandria via LeMat-Bulk: an optimized crystal structure of Mg10Si3O14F4 (GGA-PBEsol).

## Properties
formation energy from raw total energies = -2.958 eV/atom
E_tot = -414.60 eV for the cell shown
total magnetic moment = 0.000 μB/atom

a b c (Å): 5.0523 8.6625 13.9798
angles (deg): 90.00 90.00 90.00
Element x y z (fractional)
F (0.5076, 0.3353, 0.7425)
O (0.4925, 0.0000, 0.2562)
Mg (0.6514, 0.8205, 0.1757)
F (0.4924, 0.3353, 0.2575)
O (0.2874, 0.5000, 0.0790)
Si (0.9908, 0.5000, 0.1239)
O (0.3281, 0.1589, 0.4097)
O (0.1930, 0.0000, 0.9193)
O (0.3070, 0.5000, 0.4193)
O (0.0075, 0.5000, 0.7562)
Mg (0.1644, 0.0000, 0.1706)
O (0.8537, 0.3540, 0.4267)
O (0.6719, 0.1589, 0.5903)
O (0.3537, 0.8540, 0.0733)
Mg (0.3356, 0.5000, 0.6706)
Mg (0.5000, 0.6835, 0.5000)
Mg (0.8356, 0.0000, 0.8294)
O (0.2126, 0.0000, 0.5790)
O (0.9925, 0.5000, 0.2438)
O (0.6463, 0.8540, 0.9267)
F (0.4924, 0.6647, 0.2575)
Mg (0.6514, 0.1795, 0.1757)
Si (0.5092, 0.0000, 0.6239)
O (0.5075, 0.0000, 0.7438)
Mg (0.5000, 0.3462, 0.0000)
O (0.1719, 0.6589, 0.9097)
Mg (0.0000, 0.8462, 0.5000)
O (0.8281, 0.3411, 0.0903)
Si (0.5000, 0.0000, 0.0000)
F (0.0076, 0.1647, 0.7575)
O (0.6930, 0.5000, 0.5807)
O (0.8281, 0.6589, 0.0903)
O (0.7874, 0.0000, 0.4210)
Mg (0.0000, 0.1835, 0.0000)
O (0.1463, 0.6460, 0.5733)
O (0.3537, 0.1460, 0.0733)
O (0.8537, 0.6460, 0.4267)
Mg (0.3486, 0.8205, 0.8243)
Mg (0.0000, 0.8165, 0.0000)
F (0.9924, 0.8353, 0.2425)
O (0.8070, 0.0000, 0.0807)
F (0.0076, 0.8353, 0.7575)
O (0.3281, 0.8411, 0.4097)
Mg (0.5000, 0.6538, 0.0000)
Mg (0.3486, 0.1795, 0.8243)
O (0.6463, 0.1460, 0.9267)
Mg (0.1514, 0.3205, 0.3243)
Si (0.4908, 0.0000, 0.3761)
F (0.5076, 0.6647, 0.7425)
Si (0.0000, 0.5000, 0.5000)
O (0.7126, 0.5000, 0.9210)
Si (0.0092, 0.5000, 0.8761)
O (0.1719, 0.3411, 0.9097)
Mg (0.0000, 0.1538, 0.5000)
Mg (0.8486, 0.6795, 0.6757)
Mg (0.6644, 0.5000, 0.3294)
O (0.1463, 0.3540, 0.5733)
Mg (0.1514, 0.6795, 0.3243)
Mg (0.5000, 0.3165, 0.5000)
Mg (0.8486, 0.3205, 0.6757)
O (0.6719, 0.8411, 0.5903)
F (0.9924, 0.1647, 0.2425)

---

Entry from Alexandria via LeMat-Bulk: an optimized crystal structure of Mg3SiO4F2 (GGA-PBEsol).

## Properties
formation energy from raw total energies = -3.076 eV/atom
E_tot = -266.05 eV for the cell shown
total magnetic moment = 0.000 μB/atom

a b c (Å): 4.7221 8.7465 10.2827
angles (deg): 90.00 90.00 90.00
Element x y z (fractional)
Mg (0.4905, 0.5699, 0.8672)
F (0.2734, 0.5848, 0.0332)
F (0.2266, 0.9152, 0.5332)
O (0.7329, 0.6027, 0.2082)
Si (0.9204, 0.7500, 0.7801)
Mg (0.4905, 0.9301, 0.8672)
O (0.7329, 0.8973, 0.2082)
F (0.7734, 0.4152, 0.4668)
F (0.7266, 0.4152, 0.9668)
O (0.2225, 0.2500, 0.0736)
Si (0.0796, 0.2500, 0.2199)
O (0.7644, 0.2500, 0.7213)
O (0.7671, 0.8973, 0.7082)
Mg (0.9936, 0.2500, 0.9066)
Mg (0.9905, 0.4301, 0.6328)
O (0.2644, 0.7500, 0.7787)
F (0.7734, 0.0848, 0.4668)
Mg (0.4936, 0.7500, 0.5934)
Mg (0.0064, 0.7500, 0.0934)
O (0.2329, 0.3973, 0.2918)
Si (0.5796, 0.7500, 0.2801)
Mg (0.5095, 0.0699, 0.1328)
Mg (0.9905, 0.0699, 0.6328)
F (0.2266, 0.5848, 0.5332)
O (0.2356, 0.7500, 0.2787)
Mg (0.0095, 0.9301, 0.3672)
Mg (0.5064, 0.2500, 0.4066)
O (0.2671, 0.1027, 0.7918)
F (0.7266, 0.0848, 0.9668)
O (0.7225, 0.7500, 0.4264)
O (0.2329, 0.1027, 0.2918)
F (0.2734, 0.9152, 0.0332)
O (0.2775, 0.2500, 0.5736)
O (0.7356, 0.2500, 0.2213)
O (0.2671, 0.3973, 0.7918)
O (0.7671, 0.6027, 0.7082)
Mg (0.5095, 0.4301, 0.1328)
Mg (0.0095, 0.5699, 0.3672)
O (0.7775, 0.7500, 0.9264)
Si (0.4204, 0.2500, 0.7199)

---

Entry from Alexandria via LeMat-Bulk: an optimized crystal structure of Mg3OsF (GGA-PBEsol).

## Properties
formation energy from raw total energies = 0.397 eV/atom
E_tot = -17.31 eV for the cell shown
total magnetic moment = 0.000 μB/atom

a b c (Å): 4.9267 4.9267 4.9267
angles (deg): 90.00 90.00 90.00
Element x y z (fractional)
Mg (0.0000, 0.0000, 0.5000)
F (0.5000, 0.5000, 0.5000)
Os (0.0000, 0.0000, 0.0000)
Mg (0.5000, 0.0000, 0.0000)
Mg (0.0000, 0.5000, 0.0000)

---

Entry from Alexandria via LeMat-Bulk: an optimized crystal structure of MgOsF2 (GGA-PBEsol).

## Properties
formation energy from raw total energies = -1.613 eV/atom
E_tot = -24.24 eV for the cell shown
total magnetic moment = 0.223 μB/atom

a b c (Å): 2.7277 2.7277 9.5338
angles (deg): 81.78 81.78 60.00
Site moments in Bohr magnetons follow the coordinates.
Element x y z (fractional)
F (0.8714, 0.8714, 0.3857)  0.00
Os (0.0000, 0.0000, 0.0000)  0.76
Mg (0.5000, 0.5000, 0.5000)  0.00
F (0.1286, 0.1286, 0.6143)  0.00

---

Entry from Alexandria via LeMat-Bulk: an optimized crystal structure of SrMgOs2F (GGA-PBEsol).

## Properties
formation energy from raw total energies = 2.678 eV/atom
E_tot = -16.53 eV for the cell shown
total magnetic moment = 0.573 μB/atom

a b c (Å): 4.8325 4.8325 6.1249
angles (deg): 90.00 90.00 90.00
Site moments in Bohr magnetons follow the coordinates.
Element x y z (fractional)
Sr (0.0000, 0.0000, 0.0000)  -0.05
Os (0.0000, 0.5000, 0.0000)  1.34
F (0.5000, 0.5000, 0.5000)  0.05
Os (0.5000, 0.0000, 0.0000)  1.34
Mg (0.0000, 0.0000, 0.5000)  -0.03

---

Entry from Alexandria via LeMat-Bulk: an optimized crystal structure of MgP3F (GGA-PBEsol).

## Properties
formation energy from raw total energies = 0.930 eV/atom
E_tot = -16.37 eV for the cell shown
total magnetic moment = 0.000 μB/atom

a b c (Å): 4.6604 4.6604 4.6604
angles (deg): 90.00 90.00 90.00
Element x y z (fractional)
F (0.5000, 0.5000, 0.5000)
P (0.0000, 0.0000, 0.5000)
P (0.0000, 0.5000, 0.0000)
P (0.5000, 0.0000, 0.0000)
Mg (0.0000, 0.0000, 0.0000)

---

Entry from Alexandria via LeMat-Bulk: an optimized crystal structure of MgPSF2 (GGA-PBEsol).

## Properties
formation energy from raw total energies = -1.061 eV/atom
E_tot = -21.05 eV for the cell shown
total magnetic moment = 0.000 μB/atom

a b c (Å): 3.9539 3.9539 5.0511
angles (deg): 90.00 90.00 90.00
Element x y z (fractional)
S (0.0000, 0.0000, 0.5000)
Mg (0.5000, 0.5000, 0.5000)
P (0.0000, 0.0000, 0.0000)
F (0.0000, 0.5000, 0.0000)
F (0.5000, 0.0000, 0.0000)

---

Entry from Alexandria via LeMat-Bulk: an optimized crystal structure of MgPbF2 (GGA-PBEsol).

## Properties
formation energy from raw total energies = -1.776 eV/atom
E_tot = -16.68 eV for the cell shown
total magnetic moment = 0.000 μB/atom

a b c (Å): 3.3367 3.3367 8.0161
angles (deg): 77.99 77.99 60.00
Element x y z (fractional)
Mg (0.0000, 0.0000, 0.0000)
F (0.9194, 0.9194, 0.2417)
F (0.0806, 0.0806, 0.7583)
Pb (0.5000, 0.5000, 0.5000)

---

Entry from Alexandria via LeMat-Bulk: an optimized crystal structure of Mg3PbF (GGA-PBEsol).

## Properties
formation energy from raw total energies = -0.053 eV/atom
E_tot = -11.34 eV for the cell shown
total magnetic moment = 0.000 μB/atom

a b c (Å): 5.4442 5.4442 5.4442
angles (deg): 90.00 90.00 90.00
Element x y z (fractional)
F (0.5000, 0.5000, 0.5000)
Pb (0.0000, 0.0000, 0.0000)
Mg (0.0000, 0.5000, 0.0000)
Mg (0.5000, 0.0000, 0.0000)
Mg (0.0000, 0.0000, 0.5000)

---

Entry from Alexandria via LeMat-Bulk: an optimized crystal structure of Mg2PdF (GGA-PBEsol).

## Properties
formation energy from raw total energies = -1.326 eV/atom
E_tot = -33.25 eV for the cell shown
total magnetic moment = 0.000 μB/atom

a b c (Å): 5.4339 5.4339 5.4339
angles (deg): 107.05 110.70 110.70
Element x y z (fractional)
Mg (0.0692, 0.1942, 0.6250)
Mg (0.9308, 0.5558, 0.1250)
Mg (0.4308, 0.8750, 0.8058)
Mg (0.5692, 0.3750, 0.4442)
Pd (0.5000, 0.7500, 0.2500)
Pd (0.0000, 0.0000, 0.0000)
F (0.5000, 0.2500, 0.7500)
F (0.0000, 0.5000, 0.5000)

---

Entry from Alexandria via LeMat-Bulk: an optimized crystal structure of Mg2PdF (GGA-PBEsol).

## Properties
formation energy from raw total energies = -0.943 eV/atom
E_tot = -15.09 eV for the cell shown
total magnetic moment = 0.000 μB/atom

a b c (Å): 4.4477 4.4477 4.4477
angles (deg): 60.00 60.00 60.00
Element x y z (fractional)
Mg (0.2500, 0.2500, 0.2500)
Mg (0.7500, 0.7500, 0.7500)
F (0.0000, 0.0000, 0.0000)
Pd (0.5000, 0.5000, 0.5000)

---

Entry from Alexandria via LeMat-Bulk: an optimized crystal structure of MgPdF6 (GGA-PBEsol).

## Properties
formation energy from raw total energies = -2.144 eV/atom
E_tot = -36.39 eV for the cell shown
total magnetic moment = 0.000 μB/atom

a b c (Å): 4.9720 4.9720 5.3404
angles (deg): 62.26 62.26 60.00
Element x y z (fractional)
F (0.6149, 0.8979, 0.2464)
Mg (0.5000, 0.5000, 0.5000)
F (0.7592, 0.3851, 0.7536)
Pd (0.0000, 0.0000, 0.0000)
F (0.3851, 0.1021, 0.7536)
F (0.8979, 0.2408, 0.2464)
F (0.2408, 0.6149, 0.2464)
F (0.1021, 0.7592, 0.7536)

---

Entry from Alexandria via LeMat-Bulk: an optimized crystal structure of MgPdF2 (GGA-PBEsol).

## Properties
formation energy from raw total energies = -2.091 eV/atom
E_tot = -19.90 eV for the cell shown
total magnetic moment = 0.078 μB/atom

a b c (Å): 2.8703 2.8703 8.6950
angles (deg): 80.50 80.50 60.00
Site moments in Bohr magnetons follow the coordinates.
Element x y z (fractional)
Pd (0.0000, 0.0000, 0.0000)  0.31
F (0.8730, 0.8730, 0.3809)  0.00
F (0.1270, 0.1270, 0.6191)  0.00
Mg (0.5000, 0.5000, 0.5000)  0.00

---

Entry from Alexandria via LeMat-Bulk: an optimized crystal structure of MgPd2PtF (GGA-PBEsol).

## Properties
formation energy from raw total energies = 0.096 eV/atom
E_tot = -22.04 eV for the cell shown
total magnetic moment = 0.000 μB/atom

a b c (Å): 4.2722 4.2722 4.3776
angles (deg): 90.00 90.00 90.00
Element x y z (fractional)
Mg (0.5000, 0.5000, 0.5000)
F (0.0000, 0.0000, 0.0000)
Pd (0.5000, 0.0000, 0.0000)
Pt (0.0000, 0.0000, 0.5000)
Pd (0.0000, 0.5000, 0.0000)

---

Entry from Alexandria via LeMat-Bulk: an optimized crystal structure of MgPt3F (GGA-PBEsol).

## Properties
formation energy from raw total energies = 1.281 eV/atom
E_tot = -18.13 eV for the cell shown
total magnetic moment = 0.135 μB/atom

a b c (Å): 4.5866 4.5866 4.5866
angles (deg): 90.00 90.00 90.00
Site moments in Bohr magnetons follow the coordinates.
Element x y z (fractional)
Pt (0.5000, 0.0000, 0.0000)  0.19
Mg (0.0000, 0.0000, 0.0000)  0.00
F (0.5000, 0.5000, 0.5000)  0.11
Pt (0.0000, 0.0000, 0.5000)  0.19
Pt (0.0000, 0.5000, 0.0000)  0.19

---

Entry from Alexandria via LeMat-Bulk: an optimized crystal structure of RbMgF3 (GGA-PBEsol).

## Properties
formation energy from raw total energies = -3.278 eV/atom
E_tot = -149.50 eV for the cell shown
total magnetic moment = 0.005 μB/atom

a b c (Å): 5.8234 5.8234 14.2227
angles (deg): 90.00 90.00 120.00
Element x y z (fractional)
Mg (0.6667, 0.3333, 0.8474)
Rb (0.0000, 0.0000, 0.2500)
F (0.8343, 0.6686, 0.5799)
F (0.3314, 0.1657, 0.5799)
F (0.3314, 0.1657, 0.9201)
F (0.1657, 0.8343, 0.0799)
Mg (0.0000, 0.0000, 0.5000)
Mg (0.6667, 0.3333, 0.6526)
Rb (0.3333, 0.6667, 0.5977)
Mg (0.0000, 0.0000, 0.0000)
Rb (0.6667, 0.3333, 0.4023)
F (0.8343, 0.1657, 0.9201)
F (0.4807, 0.9614, 0.2500)
F (0.1657, 0.8343, 0.4201)
F (0.6686, 0.8343, 0.4201)
F (0.8343, 0.6686, 0.9201)
Rb (0.3333, 0.6667, 0.9023)
F (0.1657, 0.3314, 0.0799)
F (0.6686, 0.8343, 0.0799)
F (0.5193, 0.0386, 0.7500)
F (0.0386, 0.5193, 0.2500)
F (0.5193, 0.4807, 0.7500)
Mg (0.3333, 0.6667, 0.3474)
F (0.4807, 0.5193, 0.2500)
F (0.9614, 0.4807, 0.7500)
F (0.1657, 0.3314, 0.4201)
F (0.8343, 0.1657, 0.5799)
Rb (0.6667, 0.3333, 0.0977)
Mg (0.3333, 0.6667, 0.1526)
Rb (0.0000, 0.0000, 0.7500)

---

Entry from Alexandria via LeMat-Bulk: an optimized crystal structure of Rb2MgF4 (GGA-PBEsol).

## Properties
formation energy from raw total energies = -3.129 eV/atom
E_tot = -33.38 eV for the cell shown
total magnetic moment = 0.000 μB/atom

a b c (Å): 4.0536 4.0536 7.4289
angles (deg): 105.83 105.83 90.00
Element x y z (fractional)
F (0.1459, 0.1459, 0.2918)
Mg (0.0000, 0.0000, 0.0000)
F (0.5000, 0.0000, 0.0000)
F (0.0000, 0.5000, 0.0000)
Rb (0.3515, 0.3515, 0.7031)
F (0.8541, 0.8541, 0.7082)
Rb (0.6485, 0.6485, 0.2969)

---

Entry from Alexandria via LeMat-Bulk: an optimized crystal structure of RbMgF3 (GGA-PBEsol).

## Properties
formation energy from raw total energies = -3.284 eV/atom
E_tot = -24.95 eV for the cell shown
total magnetic moment = 0.000 μB/atom

a b c (Å): 4.0598 4.0598 4.0598
angles (deg): 90.00 90.00 90.00
Element x y z (fractional)
F (0.5000, 0.0000, 0.5000)
F (0.5000, 0.5000, 0.0000)
Rb (0.0000, 0.0000, 0.0000)
Mg (0.5000, 0.5000, 0.5000)
F (0.0000, 0.5000, 0.5000)

---

Entry from Alexandria via LeMat-Bulk: an optimized crystal structure of RbMgSeF2 (GGA-PBEsol).

## Properties
formation energy from raw total energies = -0.787 eV/atom
E_tot = -14.38 eV for the cell shown
total magnetic moment = 0.128 μB/atom

a b c (Å): 4.4035 4.4035 8.9257
angles (deg): 90.00 90.00 90.00
Site moments in Bohr magnetons follow the coordinates.
Element x y z (fractional)
F (0.0000, 0.5000, 0.0000)  0.18
F (0.5000, 0.0000, 0.0000)  0.18
Se (0.5000, 0.5000, 0.5000)  0.09
Rb (0.0000, 0.0000, 0.0000)  0.11
Mg (0.0000, 0.0000, 0.5000)  0.00

---

Entry from Alexandria via LeMat-Bulk: an optimized crystal structure of Mg2ReF (GGA-PBEsol).

## Properties
formation energy from raw total energies = -0.200 eV/atom
E_tot = -38.99 eV for the cell shown
total magnetic moment = 0.000 μB/atom

a b c (Å): 5.4766 5.4766 5.4766
angles (deg): 78.65 66.32 113.68
Element x y z (fractional)
Mg (0.5963, 0.1250, 0.7787)
Mg (0.4037, 0.6250, 0.4713)
Mg (0.0963, 0.4713, 0.1250)
Re (0.0000, 0.0000, 0.0000)
F (0.5000, 0.7500, 0.7500)
F (0.0000, 0.5000, 0.5000)
Mg (0.9037, 0.7787, 0.6250)
Re (0.5000, 0.2500, 0.2500)

---

Entry from Alexandria via LeMat-Bulk: an optimized crystal structure of MgReF2 (GGA-PBEsol).

## Properties
formation energy from raw total energies = 0.012 eV/atom
E_tot = -18.86 eV for the cell shown
total magnetic moment = 0.000 μB/atom

a b c (Å): 4.1179 4.1179 4.1179
angles (deg): 60.00 60.00 60.00
Element x y z (fractional)
F (0.2500, 0.2500, 0.2500)
F (0.7500, 0.7500, 0.7500)
Mg (0.0000, 0.0000, 0.0000)
Re (0.5000, 0.5000, 0.5000)

---

Entry from Alexandria via LeMat-Bulk: an optimized crystal structure of MgTa2RhF (GGA-PBEsol).

## Properties
formation energy from raw total energies = 0.757 eV/atom
E_tot = -33.10 eV for the cell shown
total magnetic moment = 0.316 μB/atom

a b c (Å): 4.7318 4.7318 5.0253
angles (deg): 90.00 90.00 90.00
Site moments in Bohr magnetons follow the coordinates.
Element x y z (fractional)
Ta (0.5000, 0.0000, 0.0000)  0.49
Mg (0.0000, 0.0000, 0.5000)  0.00
Rh (0.0000, 0.0000, 0.0000)  0.00
F (0.5000, 0.5000, 0.5000)  0.04
Ta (0.0000, 0.5000, 0.0000)  0.49